No. 1
Compound: YZrReSn2
Source: the Alexandria database
Functional: PBE-GGA
Structure: relaxed

Energy of formation from the pure elements: 325 meV/atom
SG: P4/mmm (123)
ρ: 7.3 g cm⁻³
Calculated total energy: -0.2487 Ha/atom
DOS at the Fermi energy: 3.673 states/eV per cell

a b c (Å): 5.1730 5.1067 5.1730
angles (deg): 90.00 90.00 90.00
Last column: nearest neighbours and their distance in Å.
Sites, in units of the cell vectors:
Y: 0.5000 0.5000 0.5000  8 Sn 3.63, 4 Zr 3.66
Re: 0.0000 0.0000 0.0000  2 Zr 2.55, 4 Sn 2.59
Sn: 0.0000 0.0000 0.5000  2 Re 2.59
Sn: 0.5000 0.0000 0.0000  2 Re 2.59
Zr: 0.0000 0.5000 0.0000  2 Re 2.55

No. 2
Compound: FeW3S
Source: the Alexandria database
Functional: PBE-GGA
Structure: relaxed

Formation energy without anion corrections: 1659 meV per atom
SG: Pm-3m (221)
ρ: 11.8 g cm⁻³
Calculated total energy: -0.3172 Ha/atom
DOS at the Fermi energy: 6.208 states/eV per cell

a b c (Å): 4.4840 4.4840 4.4840
angles (deg): 90.00 90.00 90.00
Last column: nearest neighbours and their distance in Å.
Sites, in units of the cell vectors:
S: 0.5000 0.5000 0.5000  12 W 3.17
Fe: 0.0000 0.0000 0.0000  6 W 2.24
W: 0.0000 0.5000 0.0000  2 Fe 2.24
W: 0.0000 0.0000 0.5000  2 Fe 2.24
W: 0.5000 0.0000 0.0000  2 Fe 2.24

No. 3
Compound: Sc2Fe2Tc
Source: the Alexandria database
Functional: PBE-GGA
Structure: relaxed

Energy of formation from the pure elements: -81 meV/atom
SG: P4/mbm (127)
ρ: 6.2 g cm⁻³
Calculated total energy: -0.2966 Ha/atom
DOS at the Fermi energy: 13.154 states/eV per cell

a b c (Å): 6.1205 6.1205 4.2743
angles (deg): 90.00 90.00 90.00
Last column: nearest neighbours and their distance in Å.
Sites, in units of the cell vectors:
Sc: 0.1812 0.6812 0.5000  6 Fe 2.71-2.87
Sc: 0.6812 0.8188 0.5000  6 Fe 2.71-2.87
Sc: 0.8188 0.3188 0.5000  6 Fe 2.71-2.87
Sc: 0.3188 0.1812 0.5000  6 Fe 2.71-2.87
Tc: 0.0000 0.0000 0.0000  4 Fe 2.41
Tc: 0.5000 0.5000 0.0000  4 Fe 2.41
Fe: 0.3736 0.8736 0.0000  1 Fe 2.19, 2 Tc 2.41
Fe: 0.8736 0.6264 0.0000  1 Fe 2.19, 2 Tc 2.41
Fe: 0.6264 0.1264 0.0000  1 Fe 2.19, 2 Tc 2.41
Fe: 0.1264 0.3736 0.0000  1 Fe 2.19, 2 Tc 2.41